Entry 1:
RbTe2PtN: relaxed, GGA-PBE.

Formation energy from raw total energies in eV/atom: 0.12
E in eV per atom: -4.21
Excess energy over the best structure of this formula in the dataset in eV per atom: 0.0000
Density in g/cm3: 6.6

Cell: 6.134 6.134 3.666 Å, 90.00 90.00 90.00°
Element x y z (fractional)
1 Rb 0.500 0.500 0.500
2 Te 0.500 0.000 0.000
3 Te 0.000 0.500 0.000
4 Pt 0.000 0.000 0.000
5 N 0.000 0.000 0.500

Entry 2:
Pr4GeS2O: relaxed, GGA-PBE.

Formation energy from raw total energies in eV/atom: -1.85
E in eV per atom: -6.47
Density in g/cm3: 6.1

Cell: 5.858 5.858 7.072 Å, 114.62 114.62 89.67°
Element x y z (fractional)
1 O 0.386 0.386 0.000
2 Pr 0.434 0.985 0.000
3 Pr 0.680 0.680 0.481
4 Pr 0.985 0.434 0.000
5 Pr 0.199 0.199 0.519
6 Ge 0.934 0.934 0.000
7 S 0.190 0.690 0.500
8 S 0.690 0.190 0.500

Entry 3:
AgCNF2: relaxed, GGA-PBE.

Formation energy from raw total energies in eV/atom: -0.10
E in eV per atom: -4.92
Excess energy over the best structure of this formula in the dataset in eV per atom: 0.0000
Density in g/cm3: 5.3

Cell: 4.617 4.617 2.509 Å, 90.00 90.00 90.00°
Element x y z (fractional)
1 Ag 0.500 0.500 0.500
2 N 0.000 0.000 0.500
3 F 0.000 0.500 0.000
4 F 0.500 0.000 0.000
5 C 0.000 0.000 0.000

Entry 4:
SmSi2IrOs: relaxed, GGA-PBE.

Formation energy from raw total energies in eV/atom: -0.91
E in eV per atom: -8.04
Density in g/cm3: 11.4

Cell: 4.164 4.164 5.752 Å, 111.22 111.22 90.00°
Element x y z (fractional)
1 Sm 0.000 0.000 0.000
2 Si 0.628 0.628 0.255
3 Si 0.372 0.372 0.745
4 Os 0.250 0.750 0.500
5 Ir 0.750 0.250 0.500

Entry 5:
Ho4NpSb5: relaxed, GGA-PBE.

Formation energy from raw total energies in eV/atom: -0.92
E in eV per atom: -6.11
Density in g/cm3: 8.4

Cell: 4.372 6.185 11.584 Å, 105.48 100.88 90.00°
Site moments in Bohr magnetons follow the coordinates.
Element x y z (fractional)
1 Ho 0.399 0.399 0.798  0.00
2 Ho 0.201 0.201 0.403  -0.01
3 Ho 0.601 0.601 0.202  0.00
4 Ho 0.799 0.799 0.597  -0.01
5 Sb 0.601 0.101 0.201  -0.05
6 Sb 0.399 0.899 0.799  -0.05
7 Sb 0.000 0.500 0.000  -0.05
8 Sb 0.800 0.300 0.600  -0.01
9 Sb 0.200 0.700 0.400  -0.01
10 Np 0.000 0.000 0.000  3.83

Entry 6:
Ti3AlFe2: relaxed, GGA-PBE.

E in eV per atom: -7.75
Density in g/cm3: 5.6
E_form in eV per atom: -0.3622

Cell: 2.941 2.941 9.716 Å, 90.00 90.00 90.00°
Element x y z (fractional)
1 Fe 0.500 0.500 0.847
2 Fe 0.500 0.500 0.153
3 Ti 0.000 0.000 0.305
4 Ti 0.000 0.000 0.000
5 Ti 0.000 0.000 0.695
6 Al 0.500 0.500 0.500

Entry 7:
HoScFePd: relaxed, GGA-PBE.

E in eV per atom: -6.51
Density in g/cm3: 8.5
E_form in eV per atom: -0.3714

Cell: 4.681 4.681 4.681 Å, 60.00 60.00 60.00°
Site moments in Bohr magnetons follow the coordinates.
Element x y z (fractional)
1 Fe 0.250 0.250 0.250  0.18
2 Sc 0.000 0.000 0.000  -0.03
3 Pd 0.750 0.750 0.750  0.01
4 Ho 0.500 0.500 0.500  -0.03

Entry 8:
Tb2Pm5Er12: relaxed, GGA-PBE.

E in eV per atom: -4.50
Excess energy over the best structure of this formula in the dataset in eV per atom: 0.0583
Density in g/cm3: 8.2
E_form in eV per atom: 0.1211

Cell: 9.256 9.040 8.585 Å, 91.87 90.00 120.80°
Element x y z (fractional)
1 Pm 0.293 0.587 0.982
2 Pm 0.707 0.413 0.018
3 Pm 0.231 0.461 0.572
4 Pm 0.769 0.539 0.428
5 Pm 0.000 0.000 0.500
6 Er 0.925 0.850 0.124
7 Er 0.075 0.150 0.876
8 Er 0.327 0.297 0.240
9 Er 0.970 0.297 0.240
10 Er 0.561 0.741 0.334
11 Er 0.439 0.259 0.666
12 Er 0.030 0.703 0.760
13 Er 0.444 0.887 0.665
14 Er 0.673 0.703 0.760
15 Er 0.181 0.741 0.334
16 Er 0.819 0.259 0.666
17 Er 0.556 0.113 0.335
18 Tb 0.674 0.000 0.000
19 Tb 0.326 0.000 0.000

Entry 9:
SmHfCuIr: relaxed, GGA-PBE.

E in eV per atom: -7.32
Density in g/cm3: 12.4
E_form in eV per atom: -0.4104

Cell: 4.798 4.798 4.798 Å, 60.00 60.00 60.00°
Element x y z (fractional)
1 Cu 0.250 0.250 0.250
2 Sm 0.500 0.500 0.500
3 Hf 0.000 0.000 0.000
4 Ir 0.750 0.750 0.750

Entry 10:
InSiNi2: relaxed, GGA-PBE.

Formation energy from raw total energies in eV/atom: -0.10
E in eV per atom: -5.03
Density in g/cm3: 7.4

Cell: 4.454 4.454 4.501 Å, 76.75 76.75 42.38°
Element x y z (fractional)
1 Ni 0.762 0.762 0.695
2 Ni 0.008 0.008 0.964
3 In 0.251 0.251 0.220
4 Si 0.480 0.480 0.621

Entry 11:
SrPmPPt: relaxed, GGA-PBE.

E in eV per atom: -5.40
Density in g/cm3: 8.0
E_form in eV per atom: -0.9261

Cell: 5.134 5.134 5.134 Å, 60.00 60.00 60.00°
Element x y z (fractional)
1 Sr 0.500 0.500 0.500
2 Pm 0.000 0.000 0.000
3 Pt 0.750 0.750 0.750
4 P 0.250 0.250 0.250

Entry 12:
Mn5Os: relaxed, GGA-PBE.

E in eV per atom: -9.47
Density in g/cm3: 11.2
E_form in eV per atom: 0.0450

Cell: 2.581 6.691 4.075 Å, 90.00 90.00 78.88°
Site moments in Bohr magnetons follow the coordinates.
Element x y z (fractional)
1 Mn 0.559 0.883 0.500  0.62
2 Mn 0.330 0.340 0.000  -0.30
3 Mn 0.216 0.569 0.500  0.80
4 Mn 0.668 0.664 0.000  -0.43
5 Mn 0.006 0.988 0.000  -0.76
6 Os 0.889 0.223 0.500  0.07

Entry 13:
RhSe2Cl: relaxed, GGA-PBE.

Formation energy from raw total energies in eV/atom: 0.11
E in eV per atom: -3.93
Excess energy over the best structure of this formula in the dataset in eV per atom: 0.4490
Density in g/cm3: 5.5

Cell: 3.013 3.013 9.875 Å, 90.00 90.00 89.95°
Element x y z (fractional)
1 Se 0.000 0.000 0.913
2 Se 0.500 0.500 0.213
3 Cl 0.000 0.000 0.599
4 Rh 0.500 0.500 0.775

Entry 14:
Nd3BiPN: relaxed, GGA-PBE.

Formation energy from raw total energies in eV/atom: -1.19
E in eV per atom: -6.51
Density in g/cm3: 6.4

Cell: 4.233 9.001 9.601 Å, 103.72 90.00 90.00°
Element x y z (fractional)
1 Nd 0.750 0.161 0.521
2 Nd 0.250 0.566 0.848
3 Nd 0.250 0.114 0.840
4 Nd 0.250 0.839 0.479
5 Nd 0.750 0.886 0.160
6 Nd 0.750 0.434 0.152
7 Bi 0.250 0.188 0.225
8 Bi 0.750 0.812 0.775
9 P 0.250 0.655 0.149
10 P 0.750 0.345 0.851
11 N 0.750 0.909 0.397
12 N 0.250 0.091 0.603

Entry 15:
KRb2Ge2Br7: relaxed, GGA-PBE.

Formation energy from raw total energies in eV/atom: -1.16
E in eV per atom: -3.16
Density in g/cm3: 3.4

Cell: 5.588 5.588 14.685 Å, 79.25 79.25 89.29°
Element x y z (fractional)
1 Br 0.705 0.705 0.604
2 Br 0.500 0.500 0.000
3 Br 0.082 0.591 0.807
4 Br 0.918 0.409 0.193
5 Br 0.409 0.918 0.193
6 Br 0.295 0.295 0.396
7 Br 0.591 0.082 0.807
8 Ge 0.386 0.386 0.201
9 Ge 0.614 0.614 0.799
10 Rb 0.175 0.175 0.640
11 Rb 0.825 0.825 0.360
12 K 0.000 0.000 0.000

Entry 16:
MoOsW2: relaxed, GGA-PBE.

E in eV per atom: -11.75
Excess energy over the best structure of this formula in the dataset in eV per atom: 0.1076
Density in g/cm3: 17.2
E_form in eV per atom: 0.2430

Cell: 4.894 4.894 4.894 Å, 132.25 132.25 69.84°
Element x y z (fractional)
1 Os 0.750 0.250 0.500
2 W 0.500 0.500 0.000
3 W 0.000 0.000 0.000
4 Mo 0.250 0.750 0.500

Entry 17:
PuGa3Ni2: relaxed, GGA-PBE.

E in eV per atom: -6.25
Density in g/cm3: 9.7
E_form in eV per atom: -0.4191

Cell: 5.139 6.240 6.240 Å, 102.71 90.00 90.00°
Site moments in Bohr magnetons follow the coordinates.
Element x y z (fractional)
1 Ga 0.750 0.037 0.037  0.00
2 Ga 0.250 0.963 0.963  0.00
3 Ga 0.250 0.903 0.540  0.00
4 Ga 0.250 0.540 0.903  0.00
5 Ga 0.750 0.097 0.460  0.00
6 Ga 0.750 0.460 0.097  0.00
7 Pu 0.750 0.637 0.637  5.38
8 Pu 0.250 0.363 0.363  5.38
9 Ni 0.500 0.213 0.787  0.06
10 Ni 0.500 0.787 0.213  0.06
11 Ni 0.000 0.213 0.787  0.06
12 Ni 0.000 0.787 0.213  0.06

Entry 18:
BaCo2Hg2: relaxed, GGA-PBE.

E in eV per atom: -3.16
Excess energy over the best structure of this formula in the dataset in eV per atom: 0.0000
Density in g/cm3: 9.4
E_form in eV per atom: 0.1836

Cell: 4.679 4.679 6.222 Å, 67.92 67.92 90.00°
Site moments in Bohr magnetons follow the coordinates.
Element x y z (fractional)
1 Hg 0.750 0.250 0.500  -0.03
2 Hg 0.250 0.750 0.500  -0.03
3 Co 0.397 0.397 0.206  1.60
4 Co 0.603 0.603 0.794  1.60
5 Ba 0.000 0.000 0.000  -0.09

Entry 19:
KBePtF2: relaxed, GGA-PBE.

Formation energy from raw total energies in eV/atom: 0.21
E in eV per atom: -2.71
Density in g/cm3: 4.1

Cell: 4.287 6.128 4.287 Å, 90.00 90.00 90.00°
Site moments in Bohr magnetons follow the coordinates.
Element x y z (fractional)
1 F 0.000 0.000 0.500  0.00
2 F 0.500 0.000 0.000  0.01
3 K 0.000 0.000 0.000  0.01
4 Pt 0.000 0.500 0.000  0.35
5 Be 0.500 0.500 0.500  0.00

Entry 20:
CePuPaHg: relaxed, GGA-PBE.

E in eV per atom: -7.37
Density in g/cm3: 13.5
E_form in eV per atom: 0.1469

Cell: 5.215 5.215 5.215 Å, 60.00 60.00 60.00°
Site moments in Bohr magnetons follow the coordinates.
Element x y z (fractional)
1 Ce 0.500 0.500 0.500  0.69
2 Pa 0.750 0.750 0.750  1.21
3 Hg 0.250 0.250 0.250  0.01
4 Pu 0.000 0.000 0.000  5.41